*w*
# ErMg4Ag2

An optimized crystal structure of ErMg4Ag2 (PBE, the Alexandria database).

Cell: 8.5533 8.5533 4.2597 Å, 90.00 90.00 90.00°
Last column: nearest neighbours and their distance in Å.
Space group P4_2/mnm (No. 136)
Symmetry-distinct sites (fractional):
Er (0.0000, 0.0000, 0.0000) (multiplicity 2)  4 Ag 3.23
Mg (0.0912, 0.3369, 0.5000) (multiplicity 8)  3 Ag 2.75-2.80, 1 Mg 2.97
Ag (0.2004, 0.7996, 0.5000) (multiplicity 4)  6 Mg 2.75-2.80

=====

*x*
# ErMg4Ag2

An optimized crystal structure of ErMg4Ag2 (PBE, the Alexandria database).

Cell: 4.2873 17.3137 4.2252 Å, 90.00 90.00 90.00°
Last column: nearest neighbours and their distance in Å.
Space group Cmmm (No. 65)
Symmetry-distinct sites (fractional):
Er (0.0000, 0.0000, 0.0000) (multiplicity 2)  8 Ag 3.30
Mg (0.0000, 0.1786, 0.5000) (multiplicity 4)  2 Ag 2.77, 4 Mg 3.01
Mg (0.0000, 0.3195, 0.0000) (multiplicity 4)  2 Ag 2.76, 4 Mg 3.01
Ag (0.0000, 0.4224, 0.5000) (multiplicity 4)  1 Ag 2.69, 4 Mg 2.76-2.77

=====

Stability check: which of them is least stable? *x*.

=====

*w*
# Er3Mg2Ag2

An optimized crystal structure of Er3Mg2Ag2 (PBE, the Alexandria database).

Cell: 12.9881 3.4872 8.5034 Å, 90.00 114.44 90.00°
Last column: nearest neighbours and their distance in Å.
Space group C2/m (No. 12)
Symmetry-distinct sites (fractional):
Er (0.0000, 0.0000, 0.0000) (multiplicity 2)  4 Ag 2.96
Er (0.1138, 0.0000, 0.4469) (multiplicity 4)  3 Ag 2.95-3.10
Mg (0.1427, 0.5000, 0.8186) (multiplicity 4)  3 Ag 2.88-3.16
Ag (0.1902, 0.5000, 0.2139) (multiplicity 4)  3 Mg 2.88-3.16, 5 Er 2.95-3.10

=====

*x*
# Er3Mg2Ag2

An optimized crystal structure of Er3Mg2Ag2 (PBE, the Alexandria database).

Cell: 3.5268 29.0363 3.4747 Å, 90.00 90.00 90.00°
Last column: nearest neighbours and their distance in Å.
Space group Cmmm (No. 65)
Symmetry-distinct sites (fractional):
Er (0.0000, 0.0000, 0.0000) (multiplicity 2)  8 Ag 3.10, 2 Er 3.47
Er (0.0000, 0.1279, 0.0000) (multiplicity 4)  4 Ag 3.09, 4 Mg 3.37
Mg (0.0000, 0.2935, 0.5000) (multiplicity 4)  2 Mg 3.08, 4 Er 3.37
Ag (0.0000, 0.4355, 0.5000) (multiplicity 4)  8 Er 3.09-3.10

=====

Stability check: which of them is least stable? *w*.

=====

*w*
# ErMg4Ag

An optimized crystal structure of ErMg4Ag (PBE, the Alexandria database).

Cell: 3.4072 3.4072 11.6873 Å, 90.00 90.00 90.00°
Last column: nearest neighbours and their distance in Å.
Space group P4/mmm (No. 123)
Symmetry-distinct sites (fractional):
Er (0.0000, 0.0000, 0.0000) (multiplicity 1)  8 Mg 3.32, 4 Er 3.41
Mg (0.0000, 0.0000, 0.3649) (multiplicity 2)  4 Ag 2.88, 5 Mg 3.12-3.16
Mg (0.5000, 0.5000, 0.1950) (multiplicity 2)  8 Mg 3.12-3.41, 4 Er 3.32
Ag (0.5000, 0.5000, 0.5000) (multiplicity 1)  8 Mg 2.88

=====

*x*
# ErMg4Ag

An optimized crystal structure of ErMg4Ag (PBE, the Alexandria database).

Cell: 9.0205 3.9364 7.8354 Å, 90.00 90.00 90.00°
Last column: nearest neighbours and their distance in Å.
Space group Pmma (No. 51)
Symmetry-distinct sites (fractional):
Er (0.2500, 0.0000, 0.0993) (multiplicity 2)  1 Ag 3.08, 6 Mg 3.28-3.40
Mg (0.0000, 0.0000, 0.5000) (multiplicity 2)  2 Ag 2.77, 4 Mg 3.04
Mg (0.0477, 0.5000, 0.8150) (multiplicity 4)  2 Ag 2.82, 1 Mg 3.02
Mg (0.2500, 0.5000, 0.4337) (multiplicity 2)  2 Ag 2.90, 4 Mg 3.04
Ag (0.2500, 0.0000, 0.7063) (multiplicity 2)  8 Mg 2.77-2.90, 1 Er 3.08

=====

Stability check: which of them is least stable? *w*.

=====

*w*
# Er2MgAg3

An optimized crystal structure of Er2MgAg3 (PBE, the Alexandria database).

Cell: 4.9937 4.9937 12.1698 Å, 90.00 90.00 120.00°
Last column: nearest neighbours and their distance in Å.
Space group P-3m1 (No. 164)
Symmetry-distinct sites (fractional):
Er (0.0000, 0.0000, 0.0000) (multiplicity 1)  8 Ag 3.06-3.09
Er (0.0000, 0.0000, 0.5000) (multiplicity 1)  8 Ag 3.00-3.04
Er (0.3333, 0.6667, 0.1762) (multiplicity 2)  8 Ag 2.99-3.16
Mg (0.3333, 0.6667, 0.6653) (multiplicity 2)  8 Ag 2.96-3.07
Ag (0.0000, 0.0000, 0.2536) (multiplicity 2)  5 Er 3.00-3.09, 3 Mg 3.05
Ag (0.3333, 0.6667, 0.4220) (multiplicity 2)  4 Mg 2.96-3.07, 4 Er 2.99-3.04
Ag (0.3333, 0.6667, 0.9164) (multiplicity 2)  1 Mg 3.06, 7 Er 3.06-3.16

=====

*x*
# Er2MgAg3

An optimized crystal structure of Er2MgAg3 (PBE, the Alexandria database).

Cell: 3.5261 3.5261 10.5873 Å, 90.00 90.00 90.00°
Last column: nearest neighbours and their distance in Å.
Space group P4/mmm (No. 123)
Symmetry-distinct sites (fractional):
Er (0.0000, 0.0000, 0.1742) (multiplicity 2)  8 Ag 3.10, 1 Mg 3.45
Mg (0.0000, 0.0000, 0.5000) (multiplicity 1)  8 Ag 2.97
Ag (0.5000, 0.5000, 0.0000) (multiplicity 1)  8 Er 3.10
Ag (0.5000, 0.5000, 0.3481) (multiplicity 2)  4 Mg 2.97, 4 Er 3.10, 1 Ag 3.22

=====

Stability check: which of them is least stable? *x*.